[1]
! Hf2Zr4Sn3N3 | OQMD | PBE-GGA | optimized geometry; values from VASP
! - volume (A^3/atom) = 17.2
! - symmetry = No. 15
! - final energy (eV/atom) = -8.6770
&SYSTEM
  ibrav = 0, nat = 24, ntyp = 4
/
ATOMIC_SPECIES
Zr 91.22 Zr.upf
Sn 118.71 Sn.upf
N 14.01 N.upf
Hf 178.49 Hf.upf
CELL_PARAMETERS angstrom
-5.596 0.576 -0.963
-3.767 -2.213 3.673
3.114 13.090 6.644
ATOMIC_POSITIONS crystal
Zr 0.192 0.033 0.587
Zr 0.134 0.305 0.413
Zr 0.695 0.866 0.087
Zr 0.808 0.967 0.413
Zr 0.305 0.134 0.913
Zr 0.967 0.808 0.913
Zr 0.866 0.695 0.587
Zr 0.033 0.192 0.087
Sn 0.913 0.087 0.750
Sn 0.746 0.583 0.249
Sn 0.087 0.913 0.250
Sn 0.417 0.254 0.251
Sn 0.583 0.746 0.749
Sn 0.254 0.417 0.751
N 0.000 0.500 0.000
N 0.181 0.660 0.500
N 0.340 0.819 0.000
N 0.660 0.181 0.000
N 0.500 0.000 0.500
N 0.819 0.340 0.500
Hf 0.358 0.528 0.084
Hf 0.642 0.472 0.916
Hf 0.472 0.642 0.416
Hf 0.528 0.358 0.584

[2]
! Hf4HgB2Pb | OQMD | PBE-GGA | optimized geometry; values from VASP
! - volume (A^3/atom) = 19.0
! - symmetry = No. 187
! - final energy (eV/atom) = -7.5632
&SYSTEM
  ibrav = 0, nat = 8, ntyp = 4
/
ATOMIC_SPECIES
B 10.81 B.upf
Hf 178.49 Hf.upf
Hg 200.59 Hg.upf
Pb 207.20 Pb.upf
CELL_PARAMETERS angstrom
3.429 0.000 0.000
-1.715 2.970 0.000
0.000 0.000 14.962
ATOMIC_POSITIONS crystal
B 0.333 0.667 0.249
B 0.333 0.667 0.751
Hf 0.000 0.000 0.163
Hf 0.000 0.000 0.837
Hf 0.667 0.333 0.668
Hf 0.667 0.333 0.332
Hg 0.667 0.333 0.000
Pb 0.000 0.000 0.500

[3]
! HfFeNiPb | OQMD | PBE-GGA | optimized geometry; values from VASP
! - ΔE to the lowest computed polymorph (eV/f.u.) = 0.000
! - volume (A^3/atom) = 16.1
! - symmetry = No. 216
! - final energy (eV/atom) = -6.9011
&SYSTEM
  ibrav = 0, nat = 4, ntyp = 4
/
ATOMIC_SPECIES
Fe 55.84 Fe.upf
Hf 178.49 Hf.upf
Pb 207.20 Pb.upf
Ni 58.69 Ni.upf
CELL_PARAMETERS angstrom
0.000 3.184 3.184
3.184 0.000 3.184
3.184 3.184 0.000
ATOMIC_POSITIONS crystal
Fe 0.750 0.750 0.750
Hf 0.500 0.500 0.500
Pb 0.000 0.000 0.000
Ni 0.250 0.250 0.250

[4]
! TbPPdO | OQMD | PBE-GGA | optimized geometry; values from VASP
! - ΔE to the lowest computed polymorph (eV/f.u.) = 2.062
! - volume (A^3/atom) = 18.8
! - symmetry = No. 26
! - final energy (eV/atom) = -6.4129
&SYSTEM
  ibrav = 0, nat = 8, ntyp = 4
/
ATOMIC_SPECIES
O 16.00 O.upf
P 30.97 P.upf
Tb 158.93 Tb.upf
Pd 106.42 Pd.upf
CELL_PARAMETERS angstrom
3.544 0.000 0.000
0.000 7.631 0.000
0.000 0.000 5.551
ATOMIC_POSITIONS crystal
O 0.000 0.920 0.432
O 0.000 0.080 0.932
P 0.500 0.405 0.441
P 0.500 0.595 0.941
Tb 0.500 0.227 0.941
Tb 0.500 0.773 0.441
Pd 0.000 0.785 0.941
Pd 0.000 0.215 0.441